No. 1
# Tm2AgO

A relaxed structure of Tm2AgO (GGA-PBE, Alexandria).

Calculated values
Energy ... -5.30 eV/atom

Cell and atoms, written as CIF:
```
data_Tm2AgO
_chemical_formula_sum 'Tm6 Ag3 O3'
_cell_length_a 3.3076
_cell_length_b 3.3076
_cell_length_c 25.8345
_cell_angle_alpha 90.00
_cell_angle_beta 90.00
_cell_angle_gamma 120.00
_space_group_name_H-M_alt 'R -3 m'
_space_group_IT_number 166
_space_group_name_Hall '-R 3 2"'
loop_
_atom_site_label
_atom_site_type_symbol
_atom_site_fract_x
_atom_site_fract_y
_atom_site_fract_z
_atom_site_occupancy
Tm1 Tm 0.0000 0.0000 0.1129 1
Ag1 Ag 0.0000 0.0000 0.0000 1
O1 O 0.0000 0.0000 0.5000 1
```

=====

No. 2
# InGa4Ir

A relaxed structure of InGa4Ir (GGA-PBE, Alexandria).

Calculated values
Energy relative to the elements ... -0.565 eV/f.u.
Excess energy over the best structure of this formula in the dataset ... 0.0 meV per atom

Cell and atoms, written as CIF:
```
data_InGa4Ir
_chemical_formula_sum 'In4 Ga16 Ir4'
_cell_length_a 8.373
_cell_length_b 7.207
_cell_length_c 8.465
_cell_angle_alpha 90.00
_cell_angle_beta 108.29
_cell_angle_gamma 90.00
_space_group_name_H-M_alt 'C 1 2/m 1'
_space_group_IT_number 12
loop_
_space_group_symop_operation_xyz
'x,y,z'
'-x,-y,-z'
'-x,y,-z'
'x,-y,z'
'x+1/2,y+1/2,z'
'-x+1/2,-y+1/2,-z'
'-x+1/2,y+1/2,-z'
'x+1/2,-y+1/2,z'
loop_
_atom_site_label
_atom_site_type_symbol
_atom_site_fract_x
_atom_site_fract_y
_atom_site_fract_z
_atom_site_occupancy
In1 In 0.250 0.250 0.000 1
Ga1 Ga 0.005 0.000 0.761 1
Ga2 Ga 0.104 0.500 0.676 1
Ga3 Ga 0.187 0.313 0.324 1
Ir1 Ir 0.000 0.197 0.500 1
```

=====

No. 3
# Mn2ReSb

A relaxed structure of Mn2ReSb (GGA-PBE, Alexandria).

Calculated values
Energy ... -8.28 eV/atom

Cell and atoms, written as CIF:
```
data_Mn2ReSb
_chemical_formula_sum 'Mn6 Re3 Sb3'
_cell_length_a 2.9951
_cell_length_b 2.9951
_cell_length_c 25.4286
_cell_angle_alpha 90.00
_cell_angle_beta 90.00
_cell_angle_gamma 120.00
_space_group_name_H-M_alt 'R -3 m'
_space_group_IT_number 166
_space_group_name_Hall '-R 3 2"'
loop_
_atom_site_label
_atom_site_type_symbol
_atom_site_fract_x
_atom_site_fract_y
_atom_site_fract_z
_atom_site_occupancy
Mn1 Mn 0.0000 0.0000 0.2443 1
Re1 Re 0.0000 0.0000 0.5000 1
Sb1 Sb 0.0000 0.0000 0.0000 1
```

=====

No. 4
# Er8Te2Pb

A relaxed structure of Er8Te2Pb (GGA-PBE, Alexandria).

Calculated values
Energy ... -4.62 eV/atom

Cell and atoms, written as CIF:
```
data_Er8Te2Pb
_chemical_formula_sum 'Er16 Te4 Pb2'
_cell_length_a 8.486
_cell_length_b 13.682
_cell_length_c 5.852
_cell_angle_alpha 90.00
_cell_angle_beta 105.20
_cell_angle_gamma 90.00
_space_group_name_H-M_alt 'C 1 2/m 1'
_space_group_IT_number 12
loop_
_space_group_symop_operation_xyz
'x,y,z'
'-x,-y,-z'
'-x,y,-z'
'x,-y,z'
'x+1/2,y+1/2,z'
'-x+1/2,-y+1/2,-z'
'-x+1/2,y+1/2,-z'
'x+1/2,-y+1/2,z'
loop_
_atom_site_label
_atom_site_type_symbol
_atom_site_fract_x
_atom_site_fract_y
_atom_site_fract_z
_atom_site_occupancy
Er1 Er 0.000 0.244 0.000 1
Er2 Er 0.098 0.500 0.800 1
Er3 Er 0.201 0.116 0.637 1
Te1 Te 0.000 0.305 0.500 1
Pb1 Pb 0.000 0.000 0.000 1
```

=====

No. 5
# Er3B8Ir3

A relaxed structure of Er3B8Ir3 (GGA-PBE, Alexandria).

Calculated values
Energy relative to the elements ... -3.433 eV/f.u.

Cell and atoms, written as CIF:
```
data_Er3B8Ir3
_chemical_formula_sum 'Er6 B16 Ir6'
_cell_length_a 3.422
_cell_length_b 9.172
_cell_length_c 10.636
_cell_angle_alpha 90.00
_cell_angle_beta 90.00
_cell_angle_gamma 90.00
_space_group_name_H-M_alt 'I m m m'
_space_group_IT_number 71
_space_group_name_Hall '-I 2 2'
loop_
_atom_site_label
_atom_site_type_symbol
_atom_site_fract_x
_atom_site_fract_y
_atom_site_fract_z
_atom_site_occupancy
Er1 Er 0.000 0.000 0.000 1
Er2 Er 0.000 0.000 0.294 1
B1 B 0.000 0.292 0.138 1
B2 B 0.000 0.297 0.301 1
Ir1 Ir 0.000 0.243 0.500 1
Ir2 Ir 0.000 0.500 0.000 1
```

=====

No. 6
# UTlTe4Au

A relaxed structure of UTlTe4Au (GGA-PBE, Alexandria).

Calculated values
Energy ... -4.57 eV/atom

Cell and atoms, written as CIF:
```
data_UTlTe4Au
_chemical_formula_sum 'U2 Tl2 Te8 Au2'
_cell_length_a 7.676
_cell_length_b 6.233
_cell_length_c 9.942
_cell_angle_alpha 90.00
_cell_angle_beta 111.42
_cell_angle_gamma 90.00
_space_group_name_H-M_alt 'P 1 21/m 1'
_space_group_IT_number 11
loop_
_space_group_symop_operation_xyz
'x,y,z'
'-x,-y,-z'
'-x,y+1/2,-z'
'x,-y+1/2,z'
loop_
_atom_site_label
_atom_site_type_symbol
_atom_site_fract_x
_atom_site_fract_y
_atom_site_fract_z
_atom_site_occupancy
U1 U 0.224 0.250 0.441 1
Tl1 Tl 0.269 0.250 0.939 1
Te1 Te 0.045 0.750 0.871 1
Te2 Te 0.061 0.750 0.397 1
Te3 Te 0.460 0.508 0.293 1
Au1 Au 0.231 0.750 0.692 1
```

=====

No. 7
# LiMgMn3

A relaxed structure of LiMgMn3 (GGA-PBE, Alexandria).

Calculated values
Energy relative to the elements ... 6.492 eV/f.u.
Excess energy over the best structure of this formula in the dataset ... 374.6 meV per atom

Cell and atoms, written as CIF:
```
data_LiMgMn3
_chemical_formula_sum 'Li1 Mg1 Mn3'
_cell_length_a 4.851
_cell_length_b 4.851
_cell_length_c 4.851
_cell_angle_alpha 90.00
_cell_angle_beta 90.00
_cell_angle_gamma 90.00
_space_group_name_H-M_alt 'P m -3 m'
_space_group_IT_number 221
_space_group_name_Hall '-P 4 2 3'
loop_
_atom_site_label
_atom_site_type_symbol
_atom_site_fract_x
_atom_site_fract_y
_atom_site_fract_z
_atom_site_occupancy
Li1 Li 0.000 0.000 0.000 1
Mg1 Mg 0.500 0.500 0.500 1
Mn1 Mn 0.000 0.500 0.500 1
```

=====

No. 8
# CdIrBr2

A relaxed structure of CdIrBr2 (GGA-PBE, Alexandria).

Calculated values
Excess energy over the best structure of this formula in the dataset ... 802.7 meV per atom

Cell and atoms, written as CIF:
```
data_CdIrBr2
_chemical_formula_sum 'Cd4 Ir4 Br8'
_cell_length_a 6.972
_cell_length_b 6.972
_cell_length_c 6.972
_cell_angle_alpha 90.00
_cell_angle_beta 90.00
_cell_angle_gamma 90.00
_space_group_name_H-M_alt 'F m -3 m'
_space_group_IT_number 225
_space_group_name_Hall '-F 4 2 3'
loop_
_atom_site_label
_atom_site_type_symbol
_atom_site_fract_x
_atom_site_fract_y
_atom_site_fract_z
_atom_site_occupancy
Cd1 Cd 0.000 0.000 0.000 1
Ir1 Ir 0.000 0.000 0.500 1
Br1 Br 0.250 0.250 0.250 1
```

=====

No. 9
# PuPaRh4

A relaxed structure of PuPaRh4 (GGA-PBE, Alexandria).

Calculated values
Energy relative to the elements ... -3.661 eV/f.u.
Excess energy over the best structure of this formula in the dataset ... 0.0 meV per atom

Cell and atoms, written as CIF:
```
data_PuPaRh4
_chemical_formula_sum 'Pu4 Pa4 Rh16'
_cell_length_a 7.525
_cell_length_b 7.525
_cell_length_c 7.525
_cell_angle_alpha 90.00
_cell_angle_beta 90.00
_cell_angle_gamma 90.00
_space_group_name_H-M_alt 'F -4 3 m'
_space_group_IT_number 216
_space_group_name_Hall 'F -4 2 3'
loop_
_atom_site_label
_atom_site_type_symbol
_atom_site_fract_x
_atom_site_fract_y
_atom_site_fract_z
_atom_site_occupancy
Pu1 Pu 0.000 0.000 0.000 1
Pa1 Pa 0.250 0.250 0.250 1
Rh1 Rh 0.125 0.125 0.625 1
```

=====

No. 10
# TiZnFe2N

A relaxed structure of TiZnFe2N (GGA-PBE, Alexandria).

Calculated values
Energy ... -4.98 eV/atom

Cell and atoms, written as CIF:
```
data_TiZnFe2N
_chemical_formula_sum 'Ti1 Zn1 Fe2 N1'
_cell_length_a 4.320
_cell_length_b 4.320
_cell_length_c 4.737
_cell_angle_alpha 90.00
_cell_angle_beta 90.00
_cell_angle_gamma 90.00
_space_group_name_H-M_alt 'P 4/m m m'
_space_group_IT_number 123
_space_group_name_Hall '-P 4 2'
loop_
_atom_site_label
_atom_site_type_symbol
_atom_site_fract_x
_atom_site_fract_y
_atom_site_fract_z
_atom_site_occupancy
Ti1 Ti 0.000 0.000 0.000 1
Zn1 Zn 0.000 0.000 0.500 1
Fe1 Fe 0.000 0.500 0.500 1
N1 N 0.500 0.500 0.000 1
```

=====

No. 11
# ZrFe2Ni

A relaxed structure of ZrFe2Ni (GGA-PBE, Alexandria).

Calculated values
Energy relative to the elements ... -0.256 eV/f.u.

Cell and atoms, written as CIF:
```
data_ZrFe2Ni
_chemical_formula_sum 'Zr1 Fe2 Ni1'
_cell_length_a 3.091
_cell_length_b 3.091
_cell_length_c 5.893
_cell_angle_alpha 90.00
_cell_angle_beta 90.00
_cell_angle_gamma 90.00
_space_group_name_H-M_alt 'P 4 m m'
_space_group_IT_number 99
loop_
_space_group_symop_operation_xyz
'x,y,z'
'-y,x,z'
'-x,-y,z'
'y,-x,z'
'-x,y,z'
'y,x,z'
'x,-y,z'
'-y,-x,z'
loop_
_atom_site_label
_atom_site_type_symbol
_atom_site_fract_x
_atom_site_fract_y
_atom_site_fract_z
_atom_site_occupancy
Zr1 Zr 0.000 0.000 0.000 1
Fe1 Fe 0.000 0.000 0.495 1
Fe2 Fe 0.500 0.500 0.282 1
Ni1 Ni 0.500 0.500 0.721 1
```

=====

No. 12
# Pr6HgBi5

A relaxed structure of Pr6HgBi5 (GGA-PBE, Alexandria).

Calculated values
Energy relative to the elements ... -10.000 eV/f.u.

Cell and atoms, written as CIF:
```
data_Pr6HgBi5
_chemical_formula_sum 'Pr12 Hg2 Bi10'
_cell_length_a 8.012
_cell_length_b 13.826
_cell_length_c 8.021
_cell_angle_alpha 90.00
_cell_angle_beta 109.33
_cell_angle_gamma 90.00
_space_group_name_H-M_alt 'C 1 2/m 1'
_space_group_IT_number 12
loop_
_space_group_symop_operation_xyz
'x,y,z'
'-x,-y,-z'
'-x,y,-z'
'x,-y,z'
'x+1/2,y+1/2,z'
'-x+1/2,-y+1/2,-z'
'-x+1/2,y+1/2,-z'
'x+1/2,-y+1/2,z'
loop_
_atom_site_label
_atom_site_type_symbol
_atom_site_fract_x
_atom_site_fract_y
_atom_site_fract_z
_atom_site_occupancy
Pr1 Pr 0.245 0.000 0.255 1
Pr2 Pr 0.245 0.170 0.748 1
Hg1 Hg 0.000 0.500 0.000 1
Bi1 Bi 0.000 0.000 0.500 1
Bi2 Bi 0.000 0.167 0.000 1
Bi3 Bi 0.000 0.334 0.500 1
```

=====

no.,total magnetic moment (μB per formula unit)
1,0.000
2,0.000
3,6.106
4,0.000
5,0.004
6,1.246
7,11.672
8,1.170
9,5.401
10,5.337
11,4.575
12,0.000